(1)
Computed, not measured: a relaxed structure of KThIn2 at the PBE level of DFT.

Cell lengths 6.069, 6.069, 3.360 Å; angles 90.00, 90.00, 90.00 degrees
Space group P4/mmm (No. 123)
Symmetry-distinct sites (fractional):
1 K 0.000 0.000 0.000 x1
2 Th 0.500 0.500 0.000 x1
3 In 0.000 0.500 0.500 x2

Results
As for the formation energy: -0.27 eV/f.u. The magnetization is 0.00 μB per atom. The value obtained for the density of states at the Fermi level is 0.85 states/eV/atom. The calculation puts the total energy at -0.262 Ry/atom.

(2)
Computed, not measured: a relaxed structure of YC4 at the PBE level of DFT.

Cell lengths 4.548, 4.548, 4.548 Å; angles 90.00, 90.00, 90.00 degrees
Space group Pm-3m (No. 221)
Symmetry-distinct sites (fractional):
1 Y 0.000 0.000 0.000 x1
2 C 0.000 0.000 0.500 x3
3 C 0.500 0.500 0.500 x1

Results
As for the formation energy: 20.72 eV/f.u. The magnetization is 0.14 μB per atom. The value obtained for the density of states at the Fermi level is 0.57 states/eV/atom. The calculation puts the total energy at -0.333 Ry/atom.

(3)
Computed, not measured: a relaxed structure of GaFe3Rh12 at the PBE level of DFT.

Cell lengths 3.819, 3.819, 15.201 Å; angles 90.00, 90.00, 90.00 degrees
Space group P4/mmm (No. 123)
Symmetry-distinct sites (fractional):
1 Ga 0.000 0.000 0.000 x1
2 Fe 0.000 0.000 0.249 x2
3 Fe 0.000 0.000 0.500 x1
4 Rh 0.000 0.500 0.128 x4
5 Rh 0.000 0.500 0.376 x4
6 Rh 0.500 0.500 0.000 x1
7 Rh 0.500 0.500 0.252 x2
8 Rh 0.500 0.500 0.500 x1

Results
As for the formation energy: -1.88 eV/f.u. The magnetization is 0.20 μB per atom. The value obtained for the density of states at the Fermi level is 1.16 states/eV/atom. The calculation puts the total energy at -0.544 Ry/atom.

(4)
Computed, not measured: a relaxed structure of LiAlMoOs at the PBE level of DFT.

Cell lengths 6.071, 6.071, 6.071 Å; angles 90.00, 90.00, 90.00 degrees
Space group F-43m (No. 216)
Symmetry-distinct sites (fractional):
1 Li 0.000 0.000 0.000 x4
2 Al 0.250 0.250 0.750 x4
3 Mo 0.250 0.250 0.250 x4
4 Os 0.000 0.000 0.500 x4

Results
As for the formation energy: -1.24 eV/f.u. The magnetization is 0.00 μB per atom. The value obtained for the density of states at the Fermi level is 0.10 states/eV/atom. The calculation puts the total energy at -0.532 Ry/atom.